1.
The following is a DFT calculation (GGA-PBEsol) of a relaxed La2MoSe crystal.

Cell lengths 3.8825, 3.8825, 24.4424 Å; angles 90.00, 90.00, 120.00 degrees
Last column: nearest neighbours and their distance in Å.
Sites, in units of the cell vectors:
La 0.0000 0.0000 0.2500  3 Se 3.03, 3 Mo 3.03
La 0.0000 0.0000 0.7500  3 Se 3.03, 3 Mo 3.03
La 0.3333 0.6667 0.4167  3 Se 3.03, 3 Mo 3.03
La 0.3333 0.6667 0.9167  3 Se 3.03, 3 Mo 3.03
La 0.6667 0.3333 0.0833  3 Se 3.03, 3 Mo 3.03
La 0.6667 0.3333 0.5833  3 Se 3.03, 3 Mo 3.03
Mo 0.0000 0.0000 0.0000  6 La 3.03
Mo 0.3333 0.6667 0.6667  6 La 3.03
Mo 0.6667 0.3333 0.3333  6 La 3.03
Se 0.0000 0.0000 0.5000  6 La 3.03
Se 0.3333 0.6667 0.1667  6 La 3.03
Se 0.6667 0.3333 0.8333  6 La 3.03

## Properties
Symmetry: R-3m (166)
Formation energy without anion corrections: -272 meV/atom
Uncorrected energy: -82.2 eV for the cell shown


2.
The following is a DFT calculation (GGA-PBEsol) of a relaxed LaSiMo2 crystal.

Cell lengths 8.7967, 3.2965, 5.3239 Å; angles 90.00, 100.42, 90.00 degrees
Last column: nearest neighbours and their distance in Å.
Sites, in units of the cell vectors:
La 0.0000 0.0000 0.0000  6 Mo 2.90-3.17, 4 Si 3.13
La 0.5000 0.5000 0.0000  6 Mo 2.90-3.17, 4 Si 3.13
Si 0.0000 0.5000 0.5000  6 Mo 2.63-2.70
Si 0.5000 0.0000 0.5000  6 Mo 2.63-2.70
Mo 0.2281 0.0000 0.6684  2 Mo 2.52, 3 Si 2.63-2.70
Mo 0.2719 0.5000 0.3316  2 Mo 2.52, 3 Si 2.63-2.70
Mo 0.7281 0.5000 0.6684  2 Mo 2.52, 3 Si 2.63-2.70
Mo 0.7719 0.0000 0.3316  2 Mo 2.52, 3 Si 2.63-2.70

## Properties
Symmetry: C2/m (12)
Formation energy without anion corrections: 103 meV/atom
Uncorrected energy: -68.4 eV for the cell shown


3.
The following is a DFT calculation (GGA-PBEsol) of a relaxed LaSi3Mo crystal.

Cell lengths 4.6823, 4.6823, 4.6823 Å; angles 90.00, 90.00, 90.00 degrees
Last column: nearest neighbours and their distance in Å.
Sites, in units of the cell vectors:
La 0.0000 0.0000 0.0000  12 Si 3.31
Si 0.0000 0.5000 0.5000  2 Mo 2.34
Si 0.5000 0.0000 0.5000  2 Mo 2.34
Si 0.5000 0.5000 0.0000  2 Mo 2.34
Mo 0.5000 0.5000 0.5000  6 Si 2.34

## Properties
Symmetry: Pm-3m (221)
Formation energy without anion corrections: -158 meV/atom
Uncorrected energy: -35.1 eV for the cell shown


4.
The following is a DFT calculation (GGA-PBEsol) of a relaxed LaSiMo2 crystal.

Cell lengths 3.4028, 4.8344, 8.5515 Å; angles 90.00, 90.00, 90.00 degrees
Last column: nearest neighbours and their distance in Å.
Sites, in units of the cell vectors:
La 0.0000 0.0000 0.0000  4 La 2.96, 4 Mo 3.05
La 0.5000 0.5000 0.0000  4 La 2.96, 4 Mo 3.05
Si 0.0000 0.0000 0.5000  4 Mo 2.44
Si 0.5000 0.5000 0.5000  4 Mo 2.44
Mo 0.0000 0.5000 0.2956  2 Si 2.44
Mo 0.0000 0.5000 0.7044  2 Si 2.44
Mo 0.5000 0.0000 0.2956  2 Si 2.44
Mo 0.5000 0.0000 0.7044  2 Si 2.44

## Properties
Symmetry: Cmmm (65)
Formation energy without anion corrections: 276 meV/atom
Uncorrected energy: -67.1 eV for the cell shown


5.
The following is a DFT calculation (GGA-PBEsol) of a relaxed LaSiMo2 crystal.

Cell lengths 6.0035, 8.6370, 2.7211 Å; angles 90.00, 90.00, 90.00 degrees
Last column: nearest neighbours and their distance in Å.
Sites, in units of the cell vectors:
La 0.0000 0.0000 0.0000  2 La 2.72, 8 Mo 2.96, 2 Si 3.00
La 0.5000 0.5000 0.0000  2 La 2.72, 8 Mo 2.96, 2 Si 3.00
Si 0.0000 0.5000 0.0000  2 Si 2.72, 8 Mo 2.96, 2 La 3.00
Si 0.5000 0.0000 0.0000  2 Si 2.72, 8 Mo 2.96, 2 La 3.00
Mo 0.2500 0.2500 0.5000  4 Mo 2.72-3.00, 4 La 2.96, 4 Si 2.96
Mo 0.2500 0.7500 0.5000  4 Mo 2.72-3.00, 4 La 2.96, 4 Si 2.96
Mo 0.7500 0.2500 0.5000  4 Mo 2.72-3.00, 4 La 2.96, 4 Si 2.96
Mo 0.7500 0.7500 0.5000  4 Mo 2.72-3.00, 4 Si 2.96, 4 La 2.96

## Properties
Symmetry: Cmmm (65)
Formation energy without anion corrections: 644 meV/atom
Uncorrected energy: -64.1 eV for the cell shown


6.
The following is a DFT calculation (GGA-PBEsol) of a relaxed LaSi2Mo crystal.

Cell lengths 4.0816, 4.0816, 4.3641 Å; angles 90.00, 90.00, 90.00 degrees
Last column: nearest neighbours and their distance in Å.
Sites, in units of the cell vectors:
La 0.0000 0.0000 0.0000  4 Mo 2.89, 8 Si 2.99
Si 0.0000 0.5000 0.5000  4 Si 2.89, 4 La 2.99, 4 Mo 2.99
Si 0.5000 0.0000 0.5000  4 Si 2.89, 4 La 2.99, 4 Mo 2.99
Mo 0.5000 0.5000 0.0000  4 La 2.89, 8 Si 2.99

## Properties
Symmetry: P4/mmm (123)
Formation energy without anion corrections: 175 meV/atom
Uncorrected energy: -27.9 eV for the cell shown


7.
The following is a DFT calculation (GGA-PBEsol) of a relaxed LaSiMo3 crystal.

Cell lengths 4.6321, 4.6321, 4.6321 Å; angles 90.00, 90.00, 90.00 degrees
Last column: nearest neighbours and their distance in Å.
Sites, in units of the cell vectors:
La 0.0000 0.0000 0.0000  12 Mo 3.28
Si 0.5000 0.5000 0.5000  6 Mo 2.32
Mo 0.0000 0.5000 0.5000  2 Si 2.32
Mo 0.5000 0.0000 0.5000  2 Si 2.32
Mo 0.5000 0.5000 0.0000  2 Si 2.32

## Properties
Symmetry: Pm-3m (221)
Formation energy without anion corrections: 766 meV/atom
Uncorrected energy: -42.6 eV for the cell shown


8.
The following is a DFT calculation (GGA-PBEsol) of a relaxed LaSiMo2 crystal.

Cell lengths 3.1919, 3.1919, 7.2793 Å; angles 90.00, 90.00, 90.00 degrees
Last column: nearest neighbours and their distance in Å.
Sites, in units of the cell vectors:
La 0.0000 0.0000 0.0000  4 Si 3.18, 4 La 3.19, 4 Mo 3.23
Si 0.5000 0.5000 0.6921  5 Mo 2.64-2.73
Mo 0.0000 0.0000 0.5029  4 Mo 2.63, 4 Si 2.64
Mo 0.5000 0.5000 0.3169  4 Mo 2.63, 1 Si 2.73

## Properties
Symmetry: P4mm (99)
Formation energy without anion corrections: -73 meV/atom
Uncorrected energy: -34.9 eV for the cell shown


9.
The following is a DFT calculation (GGA-PBEsol) of a relaxed LaSiMoW2 crystal.

Cell lengths 4.7925, 4.7925, 4.7083 Å; angles 90.00, 90.00, 90.00 degrees
Last column: nearest neighbours and their distance in Å.
Sites, in units of the cell vectors:
La 0.0000 0.0000 0.0000  8 W 3.36, 4 Si 3.39
Si 0.5000 0.5000 0.0000  2 Mo 2.35
Mo 0.5000 0.5000 0.5000  2 Si 2.35, 4 W 2.40
W 0.0000 0.5000 0.5000  2 Mo 2.40
W 0.5000 0.0000 0.5000  2 Mo 2.40

## Properties
Symmetry: P4/mmm (123)
Formation energy without anion corrections: 1101 meV/atom
Uncorrected energy: -45.0 eV for the cell shown


10.
The following is a DFT calculation (GGA-PBEsol) of a relaxed SrLa2Mo crystal.

Cell lengths 3.6614, 5.4354, 12.1273 Å; angles 90.00, 90.00, 90.00 degrees
Last column: nearest neighbours and their distance in Å.
Sites, in units of the cell vectors:
Sr 0.0000 0.0000 0.0000  2 Mo 3.40, 6 La 3.55-3.65, 2 Sr 3.66
Sr 0.5000 0.5000 0.5000  2 Mo 3.40, 6 La 3.55-3.65, 2 Sr 3.66
La 0.0000 0.0000 0.6117  2 Mo 2.60
La 0.0000 0.5000 0.7995  4 Mo 3.31, 4 La 3.55-3.66, 2 Sr 3.65
La 0.5000 0.0000 0.2995  4 Mo 3.31, 4 La 3.55-3.66, 2 Sr 3.65
La 0.5000 0.5000 0.1117  2 Mo 2.60
Mo 0.0000 0.5000 0.2640  2 La 2.60
Mo 0.5000 0.0000 0.7640  2 La 2.60

## Properties
Symmetry: Imm2 (44)
Energy relative to the elements: 0.50 eV per atom
Uncorrected energy: -44.6 eV for the cell shown